# 1
A geometry-optimized LuMgAgAu structure, computed with PBE.

Calculated values
- energy relative to the elements (meV/atom) = -549

Structure (extended XYZ):
```
4
Lattice="0.0000 3.4344 3.4344 3.4344 0.0000 3.4344 3.4344 3.4344 0.0000" Properties=species:S:1:pos:R:3 pbc="T T T"
Lu 0.0000 0.0000 0.0000
Mg 3.4344 3.4344 3.4344
Ag 5.1516 5.1516 5.1516
Au 1.7172 1.7172 1.7172
```

---

# 2
A geometry-optimized LuPaAgAu structure, computed with PBE.

Calculated values
- energy relative to the elements (meV/atom) = -189

Structure (extended XYZ):
```
4
Lattice="0.0000 3.5912 3.5912 3.5912 0.0000 3.5912 3.5912 3.5912 0.0000" Properties=species:S:1:pos:R:3 pbc="T T T"
Lu 0.0000 0.0000 0.0000
Pa 3.5912 3.5912 3.5912
Ag 1.7956 1.7956 1.7956
Au 5.3868 5.3868 5.3868
```

---

# 3
A geometry-optimized LuAgPbAu structure, computed with PBE.

Calculated values
- energy relative to the elements (meV/atom) = -356

Structure (extended XYZ):
```
4
Lattice="0.0000 3.5397 3.5397 3.5397 0.0000 3.5397 3.5397 3.5397 0.0000" Properties=species:S:1:pos:R:3 pbc="T T T"
Lu 0.0000 0.0000 0.0000
Ag 5.3096 5.3096 5.3096
Pb 3.5397 3.5397 3.5397
Au 1.7699 1.7699 1.7699
```

---

# 4
A geometry-optimized LuPuAgAu structure, computed with PBE.

Calculated values
- energy relative to the elements (meV/atom) = -340

Structure (extended XYZ):
```
4
Lattice="0.0000 3.6069 3.6069 3.6069 0.0000 3.6069 3.6069 3.6069 0.0000" Properties=species:S:1:pos:R:3 pbc="T T T"
Lu 0.0000 0.0000 0.0000
Pu 3.6069 3.6069 3.6069
Ag 1.8035 1.8035 1.8035
Au 5.4104 5.4104 5.4104
```

---

# 5
A geometry-optimized LuAgSbAu structure, computed with PBE.

Calculated values
- raw formation energy (eV per formula unit) = -1.86

Structure (extended XYZ):
```
4
Lattice="0.0000 3.5312 3.5312 3.5312 0.0000 3.5312 3.5312 3.5312 0.0000" Properties=species:S:1:pos:R:3 pbc="T T T"
Lu 0.0000 0.0000 0.0000
Ag 3.5312 3.5312 3.5312
Sb 1.7656 1.7656 1.7656
Au 5.2969 5.2969 5.2969
```

---

# 6
A geometry-optimized SmLuAgAu structure, computed with PBE.

Calculated values
- energy relative to the elements (meV/atom) = -567

Structure (extended XYZ):
```
4
Lattice="0.0000 3.6192 3.6192 3.6192 0.0000 3.6192 3.6192 3.6192 0.0000" Properties=species:S:1:pos:R:3 pbc="T T T"
Sm 0.0000 0.0000 0.0000
Lu 3.6192 3.6192 3.6192
Ag 1.8096 1.8096 1.8096
Au 5.4289 5.4289 5.4289
```

---

# 7
A geometry-optimized SrLuAgAu structure, computed with PBE.

Calculated values
- energy relative to the elements (meV/atom) = -448

Structure (extended XYZ):
```
4
Lattice="0.0000 3.6918 3.6918 3.6918 0.0000 3.6918 3.6918 3.6918 0.0000" Properties=species:S:1:pos:R:3 pbc="T T T"
Sr 0.0000 0.0000 0.0000
Lu 3.6918 3.6918 3.6918
Ag 1.8459 1.8459 1.8459
Au 5.5378 5.5378 5.5378
```

---

# 8
A geometry-optimized YLuAgAu structure, computed with PBE.

Calculated values
- energy relative to the elements (meV/atom) = -603

Structure (extended XYZ):
```
4
Lattice="0.0000 3.5835 3.5835 3.5835 0.0000 3.5835 3.5835 3.5835 0.0000" Properties=species:S:1:pos:R:3 pbc="T T T"
Y 0.0000 0.0000 0.0000
Lu 3.5835 3.5835 3.5835
Ag 1.7917 1.7917 1.7917
Au 5.3752 5.3752 5.3752
```